one) Compound: V3PN
Source: Alexandria via LeMat-Bulk
Functional: GGA-PBE
Structure: optimized geometry

size of the total moment = 0.00 μB per formula unit
density of states at the Fermi level = 2.686 states/eV per cell
SG = Pm-3m

Cell lengths 3.8808, 3.8808, 3.8808 Å; angles 90.00, 90.00, 90.00 degrees
Fractional coordinates of all 5 atoms:
V (0.0000, 0.0000, 0.5000)
V (0.0000, 0.5000, 0.0000)
V (0.5000, 0.0000, 0.0000)
P (0.5000, 0.5000, 0.5000)
N (0.0000, 0.0000, 0.0000)

=====

two) Compound: V3PN
Source: Alexandria via LeMat-Bulk
Functional: GGA-PBE
Structure: optimized geometry

size of the total moment = 0.00 μB per formula unit
density of states at the Fermi level = 7.932 states/eV per cell
SG = Cmmm

Cell lengths 6.2764, 6.2764, 3.9017 Å; angles 90.00, 90.00, 130.63 degrees
Fractional coordinates of all 10 atoms:
V (0.0000, 0.5000, 0.5000)
V (0.1386, 0.8614, 0.0000)
V (0.2646, 0.2646, 0.5000)
V (0.5000, 0.0000, 0.5000)
V (0.7354, 0.7354, 0.5000)
V (0.8614, 0.1386, 0.0000)
P (0.3644, 0.6356, 0.0000)
P (0.6356, 0.3644, 0.0000)
N (0.1184, 0.8816, 0.5000)
N (0.8816, 0.1184, 0.5000)

=====

three) Compound: V3PN
Source: Alexandria via LeMat-Bulk
Functional: GGA-PBE
Structure: optimized geometry

size of the total moment = 0.00 μB per formula unit
density of states at the Fermi level = 6.804 states/eV per cell
SG = Cmcm

Cell lengths 5.1201, 5.1201, 7.3804 Å; angles 90.00, 90.00, 144.65 degrees
Fractional coordinates of all 10 atoms:
V (0.0658, 0.9342, 0.7500)
V (0.3660, 0.6340, 0.5515)
V (0.3660, 0.6340, 0.9485)
V (0.6340, 0.3660, 0.0515)
V (0.6340, 0.3660, 0.4485)
V (0.9342, 0.0658, 0.2500)
P (0.2526, 0.7474, 0.2500)
P (0.7474, 0.2526, 0.7500)
N (0.0000, 0.0000, 0.0000)
N (0.0000, 0.0000, 0.5000)

=====

It is three) that is most stable; the runner-up trails by 30.1 kJ/mol of atoms.

=====

one) Compound: V4P2N
Source: Alexandria via LeMat-Bulk
Functional: GGA-PBE
Structure: optimized geometry

size of the total moment = 1.96 μB per formula unit
density of states at the Fermi level = 6.014 states/eV per cell
SG = I4/mmm

Cell lengths 6.6973, 6.6973, 6.6973 Å; angles 146.97, 146.97, 47.41 degrees
Fractional coordinates of all 7 atoms:
V (0.0000, 0.5000, 0.5000)
V (0.1678, 0.1678, 0.0000)
V (0.5000, 0.0000, 0.5000)
V (0.8322, 0.8322, 0.0000)
P (0.3614, 0.3614, 0.0000)
P (0.6386, 0.6386, 0.0000)
N (0.0000, 0.0000, 0.0000)

=====

two) Compound: V4P2N
Source: Alexandria via LeMat-Bulk
Functional: GGA-PBE
Structure: optimized geometry

size of the total moment = 0.00 μB per formula unit
density of states at the Fermi level = 9.055 states/eV per cell
SG = Pbam

Cell lengths 6.0762, 8.9898, 3.0804 Å; angles 90.00, 90.00, 90.00 degrees
Fractional coordinates of all 14 atoms:
V (0.1391, 0.1981, 0.0000)
V (0.1920, 0.9317, 0.5000)
V (0.3080, 0.4317, 0.5000)
V (0.3609, 0.6981, 0.0000)
V (0.6391, 0.3019, 0.0000)
V (0.6920, 0.5683, 0.5000)
V (0.8080, 0.0683, 0.5000)
V (0.8609, 0.8019, 0.0000)
P (0.0665, 0.6508, 0.5000)
P (0.4335, 0.1508, 0.5000)
P (0.5665, 0.8492, 0.5000)
P (0.9335, 0.3492, 0.5000)
N (0.0000, 0.0000, 0.0000)
N (0.5000, 0.5000, 0.0000)

=====

It is two) that is most stable; the runner-up trails by 24.9 kJ/mol of atoms.

=====

one) Compound: P2WN
Source: Alexandria via LeMat-Bulk
Functional: GGA-PBE
Structure: optimized geometry

size of the total moment = 0.00 μB per formula unit
density of states at the Fermi level = 3.251 states/eV per cell
SG = Fm-3m

Cell lengths 4.1668, 4.1668, 4.1668 Å; angles 60.00, 60.00, 60.00 degrees
Fractional coordinates of all 4 atoms:
P (0.2500, 0.2500, 0.2500)
P (0.7500, 0.7500, 0.7500)
W (0.0000, 0.0000, 0.0000)
N (0.5000, 0.5000, 0.5000)

=====

two) Compound: P2WN
Source: Alexandria via LeMat-Bulk
Functional: GGA-PBE
Structure: optimized geometry

size of the total moment = 0.00 μB per formula unit
density of states at the Fermi level = 2.651 states/eV per cell
SG = I-42d

Cell lengths 5.4074, 5.4074, 5.4074 Å; angles 121.76, 121.76, 86.97 degrees
Fractional coordinates of all 8 atoms:
P (0.0550, 0.6250, 0.9300)
P (0.3750, 0.3050, 0.4300)
P (0.6950, 0.1250, 0.0700)
P (0.8750, 0.9450, 0.5700)
W (0.2500, 0.7500, 0.5000)
W (0.5000, 0.5000, 0.0000)
N (0.0000, 0.0000, 0.0000)
N (0.7500, 0.2500, 0.5000)

=====

It is two) that is most stable; the runner-up trails by 73.9 kJ/mol of atoms.

=====

one) Compound: Zn2PN
Source: Alexandria via LeMat-Bulk
Functional: GGA-PBE
Structure: optimized geometry

size of the total moment = 0.00 μB per formula unit
density of states at the Fermi level = 2.540 states/eV per cell
SG = Fm-3m

Cell lengths 4.1978, 4.1978, 4.1978 Å; angles 60.00, 60.00, 60.00 degrees
Fractional coordinates of all 4 atoms:
Zn (0.2500, 0.2500, 0.2500)
Zn (0.7500, 0.7500, 0.7500)
P (0.0000, 0.0000, 0.0000)
N (0.5000, 0.5000, 0.5000)

=====

two) Compound: Zn2PN
Source: Alexandria via LeMat-Bulk
Functional: GGA-PBE
Structure: optimized geometry

size of the total moment = 0.00 μB per formula unit
density of states at the Fermi level = 2.345 states/eV per cell
SG = I-42d

Cell lengths 5.8976, 5.8976, 5.8976 Å; angles 127.50, 127.50, 77.44 degrees
Fractional coordinates of all 8 atoms:
Zn (0.0507, 0.6250, 0.9257)
Zn (0.3750, 0.3007, 0.4257)
Zn (0.6993, 0.1250, 0.0743)
Zn (0.8750, 0.9493, 0.5743)
P (0.2500, 0.7500, 0.5000)
P (0.5000, 0.5000, 0.0000)
N (0.0000, 0.0000, 0.0000)
N (0.7500, 0.2500, 0.5000)

=====

It is two) that is most stable; the runner-up trails by 64.9 kJ/mol of atoms.

=====

one) Compound: ZnP2N
Source: Alexandria via LeMat-Bulk
Functional: GGA-PBE
Structure: optimized geometry

size of the total moment = 0.00 μB per formula unit
density of states at the Fermi level = 3.725 states/eV per cell
SG = I-42d

Cell lengths 6.1233, 6.1233, 6.1233 Å; angles 132.99, 132.99, 68.67 degrees
Fractional coordinates of all 8 atoms:
Zn (0.0000, 0.0000, 0.0000)
Zn (0.7500, 0.2500, 0.5000)
P (0.1933, 0.6250, 0.0683)
P (0.3750, 0.4433, 0.5683)
P (0.5567, 0.1250, 0.9317)
P (0.8750, 0.8067, 0.4317)
N (0.2500, 0.7500, 0.5000)
N (0.5000, 0.5000, 0.0000)

=====

two) Compound: ZnP2N
Source: Alexandria via LeMat-Bulk
Functional: GGA-PBE
Structure: optimized geometry

size of the total moment = 0.00 μB per formula unit
density of states at the Fermi level = 1.805 states/eV per cell
SG = Fm-3m

Cell lengths 4.1688, 4.1688, 4.1688 Å; angles 60.00, 60.00, 60.00 degrees
Fractional coordinates of all 4 atoms:
Zn (0.0000, 0.0000, 0.0000)
P (0.2500, 0.2500, 0.2500)
P (0.7500, 0.7500, 0.7500)
N (0.5000, 0.5000, 0.5000)

=====

It is one) that is most stable; the runner-up trails by 81.1 kJ/mol of atoms.

=====

one) Compound: ZrPN
Source: Alexandria via LeMat-Bulk
Functional: GGA-PBE
Structure: optimized geometry

size of the total moment = 0.00 μB per formula unit
density of states at the Fermi level = 1.242 states/eV per cell
SG = Cm

Cell lengths 4.6938, 4.6938, 6.6850 Å; angles 118.33, 118.33, 43.82 degrees
Fractional coordinates of all 6 atoms:
Zr (0.0000, 0.0000, 0.0000)
Zr (0.5616, 0.5616, 0.5867)
P (0.2541, 0.2541, 0.9080)
P (0.7860, 0.7860, 0.3109)
N (0.8483, 0.8483, 0.5938)
N (0.9867, 0.9867, 0.3279)

=====

two) Compound: ZrPN
Source: Alexandria via LeMat-Bulk
Functional: GGA-PBE
Structure: optimized geometry

size of the total moment = 0.00 μB per formula unit
SG = Cm

Cell lengths 5.3774, 5.3774, 3.6184 Å; angles 107.16, 107.16, 95.59 degrees
Fractional coordinates of all 6 atoms:
Zr (0.2095, 0.7905, 0.0000)
Zr (0.7905, 0.2095, 0.0000)
P (0.2767, 0.2767, 0.5348)
P (0.7838, 0.7838, 0.3071)
N (0.0257, 0.3744, 0.6969)
N (0.3744, 0.0257, 0.6969)

=====

three) Compound: ZrPN
Source: Alexandria via LeMat-Bulk
Functional: GGA-PBE
Structure: optimized geometry

size of the total moment = 0.00 μB per formula unit
density of states at the Fermi level = 2.414 states/eV per cell
SG = P1

Cell lengths 3.3247, 3.3842, 7.6385 Å; angles 77.48, 80.74, 88.37 degrees
Fractional coordinates of all 6 atoms:
Zr (0.0000, 0.0000, 0.0000)
Zr (0.1581, 0.7054, 0.5645)
P (0.5581, 0.5782, 0.8417)
P (0.6548, 0.3737, 0.2639)
N (0.3806, 0.8006, 0.2400)
N (0.7031, 0.2373, 0.4823)

=====

It is two) that is most stable; the runner-up trails by 1.8 kJ/mol of atoms.

=====

one) Compound: ZrPN
Source: Alexandria via LeMat-Bulk
Functional: GGA-PBE
Structure: optimized geometry

size of the total moment = 0.00 μB per formula unit
density of states at the Fermi level = 0.245 states/eV per cell
SG = P3m1

Cell lengths 3.6031, 3.6031, 4.2011 Å; angles 90.00, 90.00, 120.00 degrees
Fractional coordinates of all 3 atoms:
Zr (0.0000, 0.0000, 0.0000)
P (0.6667, 0.3333, 0.3954)
N (0.6667, 0.3333, 0.8054)

=====

two) Compound: ZrPN
Source: Alexandria via LeMat-Bulk
Functional: GGA-PBE
Structure: optimized geometry

size of the total moment = 0.00 μB per formula unit
density of states at the Fermi level = 0.721 states/eV per cell
SG = Cm

Cell lengths 3.5688, 3.5688, 4.8184 Å; angles 113.17, 113.17, 59.11 degrees
Fractional coordinates of all 3 atoms:
Zr (0.0000, 0.0000, 0.0000)
P (0.5179, 0.5179, 0.6069)
N (0.4017, 0.4017, 0.2083)

=====

three) Compound: ZrPN
Source: Alexandria via LeMat-Bulk
Functional: GGA-PBE
Structure: optimized geometry

size of the total moment = 0.00 μB per formula unit
density of states at the Fermi level = 0.377 states/eV per cell
SG = Pm

Cell lengths 4.2732, 3.3508, 6.0192 Å; angles 90.00, 102.43, 90.00 degrees
Fractional coordinates of all 6 atoms:
Zr (0.0000, 0.0000, 0.0000)
Zr (0.3945, 0.5000, 0.6245)
P (0.6599, 0.5000, 0.2286)
P (0.8529, 0.0000, 0.4900)
N (0.2754, 0.5000, 0.2139)
N (0.4586, 0.0000, 0.8569)

=====

four) Compound: ZrPN
Source: Alexandria via LeMat-Bulk
Functional: GGA-PBE
Structure: optimized geometry

size of the total moment = 0.00 μB per formula unit
density of states at the Fermi level = 0.138 states/eV per cell
SG = P1

Cell lengths 3.3489, 4.7526, 5.9251 Å; angles 111.99, 93.26, 107.53 degrees
Fractional coordinates of all 6 atoms:
Zr (0.0000, 0.0000, 0.0000)
Zr (0.1596, 0.3784, 0.5865)
P (0.4764, 0.9800, 0.6487)
P (0.6393, 0.7039, 0.2776)
N (0.3359, 0.6406, 0.0169)
N (0.6394, 0.3540, 0.2842)

=====

It is four) that is most stable; the runner-up trails by 1.8 kJ/mol of atoms.

=====

one) Compound: ZrPN
Source: Alexandria via LeMat-Bulk
Functional: GGA-PBE
Structure: optimized geometry

size of the total moment = 0.00 μB per formula unit
density of states at the Fermi level = 3.229 states/eV per cell
SG = Pnma

Cell lengths 14.9110, 3.2593, 3.2593 Å; angles 90.00, 90.00, 90.00 degrees
Fractional coordinates of all 12 atoms:
Zr (0.1651, 0.2500, 0.2487)
Zr (0.3349, 0.7500, 0.7487)
Zr (0.6651, 0.2500, 0.2513)
Zr (0.8349, 0.7500, 0.7513)
P (0.0000, 0.2500, 0.7495)
P (0.0000, 0.7500, 0.2505)
P (0.5000, 0.2500, 0.7505)
P (0.5000, 0.7500, 0.2495)
N (0.1889, 0.7500, 0.7487)
N (0.3111, 0.2500, 0.2487)
N (0.6889, 0.7500, 0.7513)
N (0.8111, 0.2500, 0.2513)

=====

two) Compound: ZrPN
Source: Alexandria via LeMat-Bulk
Functional: GGA-PBE
Structure: optimized geometry

size of the total moment = 0.00 μB per formula unit
density of states at the Fermi level = 0.195 states/eV per cell
SG = P1

Cell lengths 4.6748, 4.7055, 4.7301 Å; angles 119.04, 106.87, 90.13 degrees
Fractional coordinates of all 6 atoms:
Zr (0.0000, 0.0000, 0.0000)
Zr (0.4975, 0.4639, 0.9206)
P (0.2558, 0.7064, 0.4054)
P (0.9199, 0.3302, 0.6484)
N (0.4609, 0.9208, 0.8340)
N (0.8911, 0.7005, 0.3737)

=====

three) Compound: ZrPN
Source: Alexandria via LeMat-Bulk
Functional: GGA-PBE
Structure: optimized geometry

size of the total moment = 0.00 μB per formula unit
density of states at the Fermi level = 0.807 states/eV per cell
SG = P1

Cell lengths 3.3666, 4.4356, 5.8591 Å; angles 79.41, 88.80, 87.85 degrees
Fractional coordinates of all 6 atoms:
Zr (0.0000, 0.0000, 0.0000)
Zr (0.0663, 0.5886, 0.5330)
P (0.4372, 0.3985, 0.1286)
P (0.5578, 0.0765, 0.6346)
N (0.1335, 0.5305, 0.9049)
N (0.5370, 0.7082, 0.2434)

=====

It is one) that is most stable; the runner-up trails by 23.0 kJ/mol of atoms.

=====

one) Compound: Pa3N
Source: Alexandria via LeMat-Bulk
Functional: GGA-PBE
Structure: optimized geometry

size of the total moment = 0.00 μB per formula unit
density of states at the Fermi level = 5.278 states/eV per cell
SG = I4/mmm

Cell lengths 7.2982, 7.2982, 7.2982 Å; angles 152.40, 152.40, 39.42 degrees
Fractional coordinates of all 4 atoms:
Pa (0.0000, 0.0000, 0.0000)
Pa (0.3307, 0.3307, 0.0000)
Pa (0.6693, 0.6693, 0.0000)
N (0.5000, 0.5000, 0.0000)

=====

two) Compound: Pa3N
Source: Alexandria via LeMat-Bulk
Functional: GGA-PBE
Structure: optimized geometry

size of the total moment = 0.00 μB per formula unit
density of states at the Fermi level = 6.527 states/eV per cell
SG = P4/mmm

Cell lengths 4.6666, 4.6666, 4.1319 Å; angles 90.00, 90.00, 90.00 degrees
Fractional coordinates of all 4 atoms:
Pa (0.0000, 0.0000, 0.0000)
Pa (0.0000, 0.5000, 0.5000)
Pa (0.5000, 0.0000, 0.5000)
N (0.5000, 0.5000, 0.5000)

=====

three) Compound: Pa3N
Source: Alexandria via LeMat-Bulk
Functional: GGA-PBE
Structure: optimized geometry

size of the total moment = 0.00 μB per formula unit
density of states at the Fermi level = 6.468 states/eV per cell
SG = Imm2

Cell lengths 5.5245, 5.5245, 5.5245 Å; angles 147.23, 73.09, 116.75 degrees
Fractional coordinates of all 4 atoms:
Pa (0.0000, 0.0000, 0.0000)
Pa (0.3377, 0.5182, 0.8195)
Pa (0.6987, 0.5182, 0.1805)
N (0.3470, 0.8470, 0.5000)

=====

It is one) that is most stable; the runner-up trails by 31.6 kJ/mol of atoms.